a:
Entry from the Alexandria database: a geometry-optimized HoPd4Au5 structure (PBE).

Spin magnetization (μB per formula unit): 0.0
Density of states at the Fermi level (states/eV per cell): 7.6
V (A^3/atom): 19.1

Lattice parameters (Å, degrees): 8.1786 9.5657 4.8837 90.00 90.00 90.00
With the nearest neighbours (Å) after each atom.
Space group Pmmn (No. 59, origin choice 2)
Unique sites:
Ho (0.2500, 0.2500, 0.1322) x2  4 Pd 2.86-2.92
Pd (0.0048, 0.7500, 0.4477) x4  5 Au 2.72-2.93, 1 Ho 2.92, 2 Pd 2.97
Pd (0.2500, 0.5398, 0.2718) x4  7 Au 2.75-2.88, 1 Ho 2.86, 2 Pd 2.97
Au (0.0825, 0.5032, 0.7582) x8  5 Pd 2.72-2.88, 4 Au 2.72-2.86
Au (0.2500, 0.7500, 0.8861) x2  4 Pd 2.76-2.93, 4 Au 2.80

=====

b:
Entry from the Alexandria database: a geometry-optimized HoPd4Au5 structure (PBE).

Spin magnetization (μB per formula unit): 0.0
Density of states at the Fermi level (states/eV per cell): 6.3
V (A^3/atom): 17.7

Lattice parameters (Å, degrees): 13.3018 4.7356 5.7436 90.00 102.24 90.00
With the nearest neighbours (Å) after each atom.
Space group C2/m (No. 12)
Unique sites:
Ho (0.0000, 0.0000, 0.0000) x2  4 Au 2.87-3.14, 6 Pd 2.92-2.94
Pd (0.1038, 0.5000, 0.8664) x4  6 Au 2.74-2.89, 2 Ho 2.92, 1 Pd 2.96
Pd (0.2047, 0.0000, 0.3171) x4  8 Au 2.80-3.12, 1 Ho 2.94, 1 Pd 2.96
Au (0.0000, 0.0000, 0.5000) x2  2 Ho 2.87, 6 Au 2.89-2.95, 2 Pd 3.12
Au (0.0983, 0.5000, 0.3663) x4  6 Pd 2.74-2.89, 3 Au 2.89-3.00
Au (0.2063, 0.0000, 0.8155) x4  7 Pd 2.78-2.89, 2 Au 2.95-3.00

=====

According to the calculations, the structures order from most to least stable as b, a.

=====

a:
Entry from the Alexandria database: a geometry-optimized HoPdAu3 structure (PBE).

Spin magnetization (μB per formula unit): 0.0
Density of states at the Fermi level (states/eV per cell): 4.9
V (A^3/atom): 19.3

Lattice parameters (Å, degrees): 4.9592 5.6300 7.3404 90.00 109.64 90.00
With the nearest neighbours (Å) after each atom.
Space group P2_1/m (No. 11)
Unique sites:
Ho (0.1038, 0.2500, 0.2061) x2  3 Pd 2.83-3.16, 8 Au 2.96-3.16
Pd (0.1247, 0.7500, 0.2505) x2  3 Ho 2.83-3.16, 8 Au 2.89-3.00
Au (0.3077, 0.5009, 0.6158) x4  5 Au 2.80-2.95, 3 Pd 2.89-3.00, 2 Ho 3.10
Au (0.4880, 0.2500, 0.9717) x2  6 Au 2.84-3.18, 2 Pd 2.91-2.93, 2 Ho 2.96-2.97

=====

b:
Entry from the Alexandria database: a geometry-optimized HoPdAu3 structure (PBE).

Spin magnetization (μB per formula unit): 0.0
Density of states at the Fermi level (states/eV per cell): 7.7
V (A^3/atom): 19.4

Lattice parameters (Å, degrees): 5.8441 5.0387 13.1507 90.00 90.00 90.00
With the nearest neighbours (Å) after each atom.
Space group Pnma (No. 62)
Unique sites:
Ho (0.2488, 0.2500, 0.0511) x4  3 Pd 2.87-3.10, 9 Au 2.91-3.12
Pd (0.0051, 0.2500, 0.6347) x4  8 Au 2.84-3.05, 3 Ho 2.87-3.10
Au (0.0061, 0.7500, 0.7492) x4  6 Au 2.82-2.92, 2 Pd 2.94, 2 Ho 2.97-3.02
Au (0.0099, 0.7500, 0.1427) x4  3 Pd 2.84-3.01, 5 Au 2.89-3.12, 3 Ho 2.96-3.12
Au (0.2454, 0.2500, 0.4338) x4  5 Au 2.82-3.12, 4 Ho 2.91-2.95, 3 Pd 2.99-3.05

=====

According to the calculations, the structures order from most to least stable as b, a.

=====

a:
Entry from the Alexandria database: a geometry-optimized HoPd6Au3 structure (PBE).

Spin magnetization (μB per formula unit): 0.0
Density of states at the Fermi level (states/eV per cell): 12.3
V (A^3/atom): 18.0

Lattice parameters (Å, degrees): 9.4420 5.3643 7.8645 90.00 115.42 90.00
With the nearest neighbours (Å) after each atom.
Space group C2/m (No. 12)
Unique sites:
Ho (0.0000, 0.0000, 0.0000) x2  10 Pd 2.95-3.18, 4 Au 3.06
Pd (0.1305, 0.0000, 0.4466) x4  5 Au 2.88-3.20, 5 Pd 2.92-3.03, 1 Ho 3.18
Pd (0.1743, 0.2460, 0.8122) x8  3 Pd 2.64-2.72, 3 Au 2.67-2.75, 1 Ho 2.95
Au (0.0000, 0.5000, 0.5000) x2  4 Pd 2.67, 2 Au 2.75
Au (0.0860, 0.5000, 0.2078) x4  5 Pd 2.68-2.88, 2 Au 2.75-2.96

=====

b:
Entry from the Alexandria database: a geometry-optimized HoPd6Au3 structure (PBE).

Spin magnetization (μB per formula unit): 0.0
Density of states at the Fermi level (states/eV per cell): 10.9
V (A^3/atom): 17.1

Lattice parameters (Å, degrees): 8.8007 4.2286 9.2200 90.00 93.77 90.00
With the nearest neighbours (Å) after each atom.
Space group P2_1/m (No. 11)
Unique sites:
Ho (0.0662, 0.2500, 0.3746) x2  10 Pd 2.74-3.04
Pd (0.0503, 0.7500, 0.9083) x2  1 Ho 2.74, 4 Au 2.80-2.87, 7 Pd 2.81-3.01
Pd (0.1458, 0.2500, 0.7005) x2  4 Au 2.86-2.92, 3 Ho 2.87-3.04, 5 Pd 2.89-3.01
Pd (0.1597, 0.7500, 0.2019) x2  2 Ho 2.80, 8 Pd 2.81-2.94, 2 Au 2.92
Pd (0.2474, 0.7500, 0.5065) x2  4 Au 2.84-2.93, 5 Pd 2.86-3.06, 3 Ho 2.87-3.04
Pd (0.3631, 0.2500, 0.3014) x2  1 Ho 2.74, 5 Au 2.80-2.84, 6 Pd 2.88-3.06
Pd (0.4543, 0.7500, 0.1010) x2  5 Pd 2.81-2.96, 7 Au 2.82-2.86
Au (0.2509, 0.2500, 0.0080) x2  10 Pd 2.81-2.92, 2 Au 2.96
Au (0.3427, 0.7500, 0.8069) x2  8 Pd 2.80-2.87, 4 Au 2.96-3.02
Au (0.4472, 0.2500, 0.6012) x2  8 Pd 2.80-2.93, 4 Au 3.01-3.02

=====

According to the calculations, the structures order from most to least stable as b, a.

=====

a:
Entry from the Alexandria database: a geometry-optimized Ho6Pd5Au structure (PBE).

Spin magnetization (μB per formula unit): 0.0
Density of states at the Fermi level (states/eV per cell): 19.4
V (A^3/atom): 23.8

Lattice parameters (Å, degrees): 7.1674 11.5482 7.1655 90.00 105.79 90.00
With the nearest neighbours (Å) after each atom.
Space group C2/m (No. 12)
Unique sites:
Ho (0.2139, 0.0000, 0.2156) x4  5 Pd 2.86-2.91, 1 Au 2.88
Ho (0.2301, 0.1734, 0.7255) x8  5 Pd 2.81-2.97, 1 Au 3.09
Pd (0.0000, 0.0000, 0.5000) x2  6 Ho 2.81-2.86
Pd (0.0000, 0.1888, 0.0000) x4  6 Ho 2.84-2.90
Pd (0.0000, 0.3659, 0.5000) x4  6 Ho 2.87-2.97, 1 Pd 3.10
Au (0.0000, 0.5000, 0.0000) x2  6 Ho 2.88-3.09

=====

b:
Entry from the Alexandria database: a geometry-optimized Ho6Pd5Au structure (PBE).

Spin magnetization (μB per formula unit): 0.0
Density of states at the Fermi level (states/eV per cell): 15.7
V (A^3/atom): 21.6

Lattice parameters (Å, degrees): 15.6823 7.0199 4.9658 90.00 108.40 90.00
With the nearest neighbours (Å) after each atom.
Space group C2/m (No. 12)
Unique sites:
Ho (0.0000, 0.2462, 0.0000) x4  6 Pd 3.03-3.07, 2 Au 3.06
Ho (0.1678, 0.2482, 0.6677) x8  7 Pd 3.00-3.05, 1 Au 3.06
Pd (0.0000, 0.0000, 0.5000) x2  8 Ho 3.03-3.04
Pd (0.1669, 0.0000, 0.1661) x4  8 Ho 3.03-3.04
Pd (0.1678, 0.5000, 0.1672) x4  8 Ho 3.00-3.07
Au (0.0000, 0.5000, 0.5000) x2  8 Ho 3.06

=====

According to the calculations, the structures order from most to least stable as b, a.

=====

a:
Entry from the Alexandria database: a geometry-optimized Ho2Pd3Au2 structure (PBE).

Spin magnetization (μB per formula unit): 0.0
Density of states at the Fermi level (states/eV per cell): 5.3
V (A^3/atom): 20.0

Lattice parameters (Å, degrees): 11.1766 4.2592 5.8676 90.00 90.19 90.00
With the nearest neighbours (Å) after each atom.
Space group C2/m (No. 12)
Unique sites:
Ho (0.1417, 0.0000, 0.1321) x4  3 Pd 2.68-2.86
Pd (0.0000, 0.0000, 0.5000) x2  2 Ho 2.68, 2 Pd 2.74, 4 Au 2.85
Pd (0.2336, 0.0000, 0.6458) x4  3 Pd 2.74-2.76, 3 Ho 2.86-3.04, 2 Au 2.88
Au (0.0769, 0.5000, 0.7890) x4  4 Pd 2.85-2.88, 3 Ho 3.02-3.18, 1 Au 3.02

=====

b:
Entry from the Alexandria database: a geometry-optimized Ho2Pd3Au2 structure (PBE).

Spin magnetization (μB per formula unit): 0.0
Density of states at the Fermi level (states/eV per cell): 6.3
V (A^3/atom): 20.5

Lattice parameters (Å, degrees): 9.7417 4.0841 8.3147 90.00 119.99 90.00
With the nearest neighbours (Å) after each atom.
Space group C2/m (No. 12)
Unique sites:
Ho (0.2022, 0.0000, 0.2744) x4  6 Pd 2.84-2.96, 4 Au 3.04-3.09
Pd (0.0000, 0.5000, 0.0000) x2  2 Pd 2.83, 4 Ho 2.96, 6 Au 3.00
Pd (0.0353, 0.5000, 0.3588) x4  2 Pd 2.76-2.83, 2 Au 2.79, 4 Ho 2.84-2.96
Au (0.1538, 0.0000, 0.8771) x4  5 Pd 2.79-3.00, 2 Au 2.83, 4 Ho 3.04-3.09

=====

According to the calculations, the structures order from most to least stable as b, a.

=====

a:
Entry from the Alexandria database: a geometry-optimized HoPd2Au2 structure (PBE).

Spin magnetization (μB per formula unit): 0.0
Density of states at the Fermi level (states/eV per cell): 4.8
V (A^3/atom): 18.7

Lattice parameters (Å, degrees): 7.8665 4.9942 5.1238 90.00 111.92 90.00
With the nearest neighbours (Å) after each atom.
Space group C2/m (No. 12)
Unique sites:
Ho (0.0000, 0.0000, 0.0000) x2  6 Au 2.94-2.95, 4 Pd 2.95-3.00
Pd (0.2064, 0.0000, 0.6129) x4  5 Au 2.86-2.99, 3 Pd 2.94-3.01, 2 Ho 2.95-3.00
Au (0.0961, 0.5000, 0.7848) x4  1 Au 2.74, 5 Pd 2.86-2.99, 3 Ho 2.94-2.95

=====

b:
Entry from the Alexandria database: a geometry-optimized HoPd2Au2 structure (PBE).

Spin magnetization (μB per formula unit): 0.0
Density of states at the Fermi level (states/eV per cell): 4.8
V (A^3/atom): 21.6

Lattice parameters (Å, degrees): 5.0481 5.0481 8.4952 90.00 90.00 90.00
With the nearest neighbours (Å) after each atom.
Space group I4/mmm (No. 139)
Unique sites:
Ho (0.0000, 0.0000, 0.0000) x2  2 Au 2.94
Pd (0.0000, 0.5000, 0.2500) x4  4 Au 2.65
Au (0.0000, 0.0000, 0.3462) x4  1 Au 2.61, 4 Pd 2.65

=====

According to the calculations, the structures order from most to least stable as a, b.

=====

a:
Entry from the Alexandria database: a geometry-optimized HoPd5Au structure (PBE).

Spin magnetization (μB per formula unit): 0.0
Density of states at the Fermi level (states/eV per cell): 9.7
V (A^3/atom): 18.5

Lattice parameters (Å, degrees): 5.0978 5.3897 9.4255 90.00 90.00 90.00
With the nearest neighbours (Å) after each atom.
Space group Imm2 (No. 44)
Unique sites:
Ho (0.0000, 0.0000, 0.0000) x2  3 Pd 2.57-2.76
Pd (0.0000, 0.0000, 0.7268) x2  1 Ho 2.57, 6 Pd 2.65-2.88, 2 Au 2.70
Pd (0.0000, 0.2557, 0.2542) x4  6 Pd 2.63-2.88, 1 Ho 2.76, 2 Au 2.93
Pd (0.2488, 0.5000, 0.9807) x4  3 Pd 2.54-2.65
Au (0.0000, 0.5000, 0.7098) x2  8 Pd 2.70-2.93

=====

b:
Entry from the Alexandria database: a geometry-optimized HoPd5Au structure (PBE).

Spin magnetization (μB per formula unit): 0.0
Density of states at the Fermi level (states/eV per cell): 3.6
V (A^3/atom): 18.5

Lattice parameters (Å, degrees): 4.1087 4.1087 7.6805 90.00 90.00 90.00
With the nearest neighbours (Å) after each atom.
Space group P4/mmm (No. 123)
Unique sites:
Ho (0.0000, 0.0000, 0.0000) x1  12 Pd 2.89-2.91
Pd (0.0000, 0.5000, 0.2639) x4  2 Au 2.74, 2 Ho 2.89, 6 Pd 2.89-2.91
Pd (0.5000, 0.5000, 0.0000) x1  8 Pd 2.89, 4 Ho 2.91
Au (0.0000, 0.0000, 0.5000) x1  8 Pd 2.74

=====

According to the calculations, the structures order from most to least stable as b, a.

=====

a:
Entry from the Alexandria database: a geometry-optimized Ho2Pd3Au structure (PBE).

Spin magnetization (μB per formula unit): 0.0
Density of states at the Fermi level (states/eV per cell): 6.4
V (A^3/atom): 23.2

Lattice parameters (Å, degrees): 7.6496 8.9494 8.1275 90.00 90.00 90.00
With the nearest neighbours (Å) after each atom.
Space group Ibam (No. 72)
Unique sites:
Ho (0.1971, 0.1817, 0.0000) x8  6 Pd 2.76-3.08, 1 Au 2.83
Pd (0.0000, 0.0000, 0.2500) x4  2 Pd 2.72, 4 Ho 3.01
Pd (0.0000, 0.3037, 0.2500) x8  2 Au 2.69, 1 Pd 2.72, 2 Ho 2.76
Au (0.0000, 0.5000, 0.0000) x4  4 Pd 2.69, 2 Ho 2.83

=====

b:
Entry from the Alexandria database: a geometry-optimized Ho2Pd3Au structure (PBE).

Spin magnetization (μB per formula unit): 0.0
Density of states at the Fermi level (states/eV per cell): 26.5
V (A^3/atom): 22.0

Lattice parameters (Å, degrees): 9.8922 9.8922 10.7674 90.00 90.00 90.00
With the nearest neighbours (Å) after each atom.
Space group I4_1/amd (No. 141, origin choice 2)
Unique sites:
Ho (0.0000, 0.0559, 0.2266) x16  7 Pd 2.83-3.14, 2 Au 3.03-3.05
Pd (0.0000, 0.0000, 0.5000) x8  4 Pd 2.74, 2 Ho 2.99
Pd (0.2406, 0.0094, 0.3750) x16  4 Pd 2.70-2.74, 4 Ho 2.83-2.90
Au (0.0000, 0.2500, 0.0086) x8  1 Au 2.88, 4 Ho 3.03-3.05

=====

According to the calculations, the structures order from most to least stable as b, a.